Record 1
First-principles (PBE) data for crystalline Ti2Mn2Al at its relaxed geometry, as listed in the Alexandria database.

Cell lengths 3.0604, 3.0604, 16.3959 Å; angles 90.00, 90.00, 90.00 degrees
Closest atoms and distances in Å follow each position.
Fractional positions:
Ti1 0.0000 0.0000 0.1136  4 Mn 2.71, 4 Al 2.86
Ti2 0.0000 0.0000 0.8864  4 Mn 2.71, 4 Al 2.86
Ti3 0.5000 0.5000 0.3864  4 Mn 2.71, 4 Al 2.86
Ti4 0.5000 0.5000 0.6136  4 Mn 2.71, 4 Al 2.86
Mn1 0.0000 0.5000 0.2500  4 Mn 2.16
Mn2 0.0000 0.5000 0.7500  4 Mn 2.16
Mn3 0.5000 0.0000 0.2500  4 Mn 2.16
Mn4 0.5000 0.0000 0.7500  4 Mn 2.16
Al1 0.0000 0.0000 0.5000  8 Ti 2.86, 4 Al 3.06
Al2 0.5000 0.5000 0.0000  8 Ti 2.86, 4 Al 3.06

Properties
symmetry: I4/mmm, No. 139
crystal system: tetragonal
Fermi-level density of states: 11.30 states/eV/cell
magnetic moment: 0.0 μB/cell
uncorrected energy: -7.4341 eV per atom
excess energy over the best structure of this formula in the dataset: 1.16 eV per formula unit
DFT formation energy: 140 meV per atom

Record 2
First-principles (PBE) data for crystalline Ti2Mn2AlV5 at its relaxed geometry, as listed in the Alexandria database.

Cell lengths 9.9410, 9.9410, 2.9420 Å; angles 90.00, 90.00, 90.00 degrees
Closest atoms and distances in Å follow each position.
Fractional positions:
Ti1 0.1716 0.3284 0.0000  3 Mn 2.79-3.02, 10 V 2.82-3.05, 2 Ti 2.94
Ti2 0.3284 0.8284 0.0000  3 Mn 2.79-3.02, 10 V 2.82-3.05, 2 Ti 2.94
Ti3 0.6716 0.1716 0.0000  3 Mn 2.79-3.02, 10 V 2.82-3.05, 2 Ti 2.94
Ti4 0.8284 0.6716 0.0000  3 Mn 2.79-3.02, 10 V 2.82-3.05, 2 Ti 2.94
Mn1 0.1298 0.6298 0.0000  6 V 2.28-2.34
Mn2 0.3702 0.1298 0.0000  6 V 2.28-2.34
Mn3 0.6298 0.8702 0.0000  6 V 2.28-2.34
Mn4 0.8702 0.3702 0.0000  6 V 2.28-2.34
Al1 0.0000 0.0000 0.0000  8 V 2.61
Al2 0.5000 0.5000 0.0000  8 V 2.61
V1 0.0000 0.5000 0.5000  4 Mn 2.34
V2 0.0627 0.7918 0.5000  2 Mn 2.28
V3 0.2082 0.0627 0.5000  2 Mn 2.28
V4 0.2918 0.5627 0.5000  2 Mn 2.28
V5 0.4373 0.2918 0.5000  2 Mn 2.28
V6 0.5000 0.0000 0.5000  4 Mn 2.34
V7 0.5627 0.7082 0.5000  2 Mn 2.28
V8 0.7082 0.4373 0.5000  2 Mn 2.28
V9 0.7918 0.9373 0.5000  2 Mn 2.28
V10 0.9373 0.2082 0.5000  2 Mn 2.28

Properties
symmetry: P4/mbm, No. 127
crystal system: tetragonal
Fermi-level density of states: 18.91 states/eV/cell
magnetic moment: 0.0 μB/cell
uncorrected energy: -8.2982 eV per atom
DFT formation energy: 48 meV per atom

Record 3
First-principles (PBE) data for crystalline Ti5Mn2Al2Zn at its relaxed geometry, as listed in the Alexandria database.

Cell lengths 10.1191, 10.1191, 3.0869 Å; angles 90.00, 90.00, 90.00 degrees
Closest atoms and distances in Å follow each position.
Fractional positions:
Ti1 0.0000 0.5000 0.0000  4 Mn 2.43
Ti2 0.0736 0.2033 0.0000  2 Mn 2.35
Ti3 0.2033 0.9264 0.0000  2 Mn 2.35
Ti4 0.2967 0.4264 0.0000  2 Mn 2.35
Ti5 0.4264 0.7033 0.0000  2 Mn 2.35
Ti6 0.5000 0.0000 0.0000  4 Mn 2.43
Ti7 0.5736 0.2967 0.0000  2 Mn 2.35
Ti8 0.7033 0.5736 0.0000  2 Mn 2.35
Ti9 0.7967 0.0736 0.0000  2 Mn 2.35
Ti10 0.9264 0.7967 0.0000  2 Mn 2.35
Mn1 0.1314 0.3686 0.5000  6 Ti 2.35-2.43
Mn2 0.3686 0.8686 0.5000  6 Ti 2.35-2.43
Mn3 0.6314 0.1314 0.5000  6 Ti 2.35-2.43
Mn4 0.8686 0.6314 0.5000  6 Ti 2.35-2.43
Al1 0.1725 0.6725 0.5000  3 Mn 2.81-3.10, 6 Ti 2.91-3.01, 2 Al 3.09
Al2 0.3275 0.1725 0.5000  3 Mn 2.81-3.10, 6 Ti 2.91-3.01, 2 Al 3.09
Al3 0.6725 0.8275 0.5000  3 Mn 2.81-3.10, 6 Ti 2.91-3.01, 2 Al 3.09
Al4 0.8275 0.3275 0.5000  3 Mn 2.81-3.10, 6 Ti 2.91-3.01, 2 Al 3.09
Zn1 0.0000 0.0000 0.5000  8 Ti 2.68
Zn2 0.5000 0.5000 0.5000  8 Ti 2.68

Properties
symmetry: P4/mbm, No. 127
crystal system: tetragonal
Fermi-level density of states: 24.92 states/eV/cell
magnetic moment: 0.0 μB/cell
uncorrected energy: -6.7898 eV per atom
DFT formation energy: -133 meV per atom

Record 4
First-principles (PBE) data for crystalline ZrTiMnAl at its relaxed geometry, as listed in the Alexandria database.

Cell lengths 6.3906, 6.3906, 6.3906 Å; angles 90.00, 90.00, 90.00 degrees
Closest atoms and distances in Å follow each position.
Fractional positions:
Zr1 0.0000 0.0000 0.0000  4 Mn 2.77, 4 Al 2.77
Zr2 0.0000 0.5000 0.5000  4 Mn 2.77, 4 Al 2.77
Zr3 0.5000 0.0000 0.5000  4 Mn 2.77, 4 Al 2.77
Zr4 0.5000 0.5000 0.0000  4 Mn 2.77, 4 Al 2.77
Ti1 0.0000 0.0000 0.5000  4 Mn 2.77, 4 Al 2.77
Ti2 0.0000 0.5000 0.0000  4 Mn 2.77, 4 Al 2.77
Ti3 0.5000 0.0000 0.0000  4 Mn 2.77, 4 Al 2.77
Ti4 0.5000 0.5000 0.5000  4 Mn 2.77, 4 Al 2.77
Mn1 0.2500 0.2500 0.2500  4 Zr 2.77, 4 Ti 2.77
Mn2 0.2500 0.7500 0.7500  4 Zr 2.77, 4 Ti 2.77
Mn3 0.7500 0.2500 0.7500  4 Zr 2.77, 4 Ti 2.77
Mn4 0.7500 0.7500 0.2500  4 Zr 2.77, 4 Ti 2.77
Al1 0.2500 0.2500 0.7500  4 Zr 2.77, 4 Ti 2.77
Al2 0.2500 0.7500 0.2500  4 Zr 2.77, 4 Ti 2.77
Al3 0.7500 0.2500 0.2500  4 Zr 2.77, 4 Ti 2.77
Al4 0.7500 0.7500 0.7500  4 Zr 2.77, 4 Ti 2.77

Properties
symmetry: F-43m, No. 216
crystal system: cubic
Fermi-level density of states: 7.12 states/eV/cell
magnetic moment: 0.3 μB/cell
uncorrected energy: -7.5298 eV per atom
DFT formation energy: -191 meV per atom

Record 5
First-principles (PBE) data for crystalline Mn2Al2Tl at its relaxed geometry, as listed in the Alexandria database.

Cell lengths 7.4758, 7.4758, 2.9166 Å; angles 90.00, 90.00, 90.00 degrees
Closest atoms and distances in Å follow each position.
Fractional positions:
Mn1 0.1228 0.3772 0.0000  1 Mn 2.60, 6 Al 2.64-2.65
Mn2 0.3772 0.8772 0.0000  1 Mn 2.60, 6 Al 2.64-2.65
Mn3 0.6228 0.1228 0.0000  1 Mn 2.60, 6 Al 2.64-2.65
Mn4 0.8772 0.6228 0.0000  1 Mn 2.60, 6 Al 2.64-2.65
Al1 0.1682 0.6682 0.5000  6 Mn 2.64-2.65, 2 Al 2.92
Al2 0.3318 0.1682 0.5000  6 Mn 2.64-2.65, 2 Al 2.92
Al3 0.6682 0.8318 0.5000  6 Mn 2.64-2.65, 2 Al 2.92
Al4 0.8318 0.3318 0.5000  6 Mn 2.64-2.65, 2 Al 2.92
Tl1 0.0000 0.0000 0.0000  2 Tl 2.92, 4 Mn 2.97, 8 Al 3.14
Tl2 0.5000 0.5000 0.0000  2 Tl 2.92, 4 Mn 2.97, 8 Al 3.14

Properties
symmetry: P4/mbm, No. 127
crystal system: tetragonal
Fermi-level density of states: 5.59 states/eV/cell
magnetic moment: 9.9 μB/cell
uncorrected energy: -5.4829 eV per atom
excess energy over the best structure of this formula in the dataset: 0.00 eV per formula unit
DFT formation energy: 155 meV per atom

Record 6
First-principles (PBE) data for crystalline MnAl2Tl at its relaxed geometry, as listed in the Alexandria database.

Cell lengths 3.0188, 3.8426, 6.2852 Å; angles 90.00, 90.00, 90.00 degrees
Closest atoms and distances in Å follow each position.
Fractional positions:
Mn1 0.0000 0.0000 0.0000  5 Al 2.57-2.68
Al1 0.0000 0.0000 0.5904  1 Mn 2.57, 4 Al 2.86
Al2 0.5000 0.5000 0.8261  4 Mn 2.68, 4 Al 2.86, 1 Tl 2.97
Tl1 0.5000 0.5000 0.2981  6 Al 2.97-3.32, 2 Tl 3.02, 4 Mn 3.08

Properties
symmetry: Pmm2, No. 25
crystal system: orthorhombic
Fermi-level density of states: 1.70 states/eV/cell
magnetic moment: 3.0 μB/cell
uncorrected energy: -4.5217 eV per atom
excess energy over the best structure of this formula in the dataset: 0.69 eV per formula unit
DFT formation energy: 234 meV per atom

Record 7
First-principles (PBE) data for crystalline Mn2Al2Tl at its relaxed geometry, as listed in the Alexandria database.

Cell lengths 3.2122, 3.2122, 17.1402 Å; angles 90.00, 90.00, 90.00 degrees
Closest atoms and distances in Å follow each position.
Fractional positions:
Mn1 0.0000 0.5000 0.2500  4 Mn 2.27
Mn2 0.0000 0.5000 0.7500  4 Mn 2.27
Mn3 0.5000 0.0000 0.2500  4 Mn 2.27
Mn4 0.5000 0.0000 0.7500  4 Mn 2.27
Al1 0.0000 0.0000 0.1328  4 Mn 2.57
Al2 0.0000 0.0000 0.8672  4 Mn 2.57
Al3 0.5000 0.5000 0.3672  4 Mn 2.57
Al4 0.5000 0.5000 0.6328  4 Mn 2.57
Tl1 0.0000 0.0000 0.5000  4 Tl 3.21, 8 Al 3.22
Tl2 0.5000 0.5000 0.0000  4 Tl 3.21, 8 Al 3.22

Properties
symmetry: I4/mmm, No. 139
crystal system: tetragonal
Fermi-level density of states: 8.15 states/eV/cell
magnetic moment: 0.0 μB/cell
uncorrected energy: -5.2817 eV per atom
excess energy over the best structure of this formula in the dataset: 1.01 eV per formula unit
DFT formation energy: 356 meV per atom

Record 8
First-principles (PBE) data for crystalline MnAlTl4 at its relaxed geometry, as listed in the Alexandria database.

Cell lengths 6.2843, 6.2843, 6.2843 Å; angles 60.00, 60.00, 60.00 degrees
Closest atoms and distances in Å follow each position.
Fractional positions:
Mn1 0.0000 0.0000 0.0000  12 Tl 3.68, 4 Al 3.85
Al1 0.2500 0.2500 0.2500  12 Tl 3.68, 4 Mn 3.85
Tl1 0.1248 0.6251 0.6251  6 Tl 3.14
Tl2 0.6251 0.1248 0.6251  6 Tl 3.14
Tl3 0.6251 0.6251 0.1248  6 Tl 3.14
Tl4 0.6251 0.6251 0.6251  6 Tl 3.14

Properties
symmetry: F-43m, No. 216
crystal system: cubic
Fermi-level density of states: 4.59 states/eV/cell
magnetic moment: 4.5 μB/cell
uncorrected energy: -3.0861 eV per atom
DFT formation energy: 643 meV per atom